An optimized crystal structure of Ce3AuC, computed with PBE.

abc: 3.497 5.016 12.828
angles: 90.00 97.82 90.00
Fractional positions:
Ce 0.074 0.250 0.147
Ce 0.213 0.250 0.426
Ce 0.345 0.250 0.692
Ce 0.655 0.750 0.308
Ce 0.787 0.750 0.574
Ce 0.926 0.750 0.853
Au 0.468 0.250 0.935
Au 0.532 0.750 0.065
C 0.359 0.750 0.717
C 0.641 0.250 0.283

- Relative energy among the computed polymorphs: 48 meV/atom
- Size of the total moment: 0.00 μB per formula unit
- Energy of formation from the pure elements: -315 meV per atom
- DFT total energy: -31.9 eV per formula unit
- Space group: P2_1/m (11)